No. 1
The following is a PBE+U calculation of crystalline NiSO2F at its relaxed geometry, from the Alexandria database.

The value obtained for the total energy is -18.4 eV per cell. Its crystal system is tetragonal.

The structure belongs to space group P4/mmm (No. 123); the cell edges are 3.858, 3.858 and 3.725 Å and the angles 90.00°, 90.00° and 90.00°. The inequivalent atoms are Ni at (0.000, 0.000, 0.000), S at (0.500, 0.500, 0.500), O at (0.000, 0.500, 0.000) and F at (0.000, 0.000, 0.500).

---

No. 2
The following is a PBE+U calculation of crystalline LiAcV2O7 at its relaxed geometry, from the Alexandria database.

The value obtained for the total energy is -161.7 eV per cell. Its crystal system is tetragonal.

The structure belongs to space group I-4m2 (No. 119); the cell edges are 3.752, 3.752 and 19.681 Å and the angles 90.00°, 90.00° and 90.00°. The inequivalent atoms are Li at (0.000, 0.000, 0.000), Ac at (0.000, 0.500, 0.750), V at (0.000, 0.500, 0.131), O at (0.000, 0.000, 0.148), O at (0.000, 0.000, 0.350), O at (0.000, 0.500, 0.046) and O at (0.000, 0.500, 0.250).